# PBE-GGA Tc2IrRu, relaxed
data_Tc2IrRu
_chemical_formula_sum 'Tc2 Ir1 Ru1'
_space_group_name_H-M_alt 'P m m m'
_space_group_IT_number 47
_cell_length_a 2.7299
_cell_length_b 3.8601
_cell_length_c 5.4538
_cell_angle_alpha 90.00
_cell_angle_beta 90.00
_cell_angle_gamma 90.00
loop_
_space_group_symop_operation_xyz
'x,y,z'
'-x,-y,-z'
'-x,-y,z'
'x,y,-z'
'x,-y,-z'
'-x,y,z'
'-x,y,-z'
'x,-y,z'
loop_
_atom_site_label
_atom_site_type_symbol
_atom_site_fract_x
_atom_site_fract_y
_atom_site_fract_z
Tc1 Tc 0.0000 0.0000 0.2416
Ir1 Ir 0.5000 0.5000 0.5000
Ru1 Ru 0.5000 0.5000 0.0000
# energy: -9.788 eV/atom

=====

# PBE-GGA Pm2CoN, relaxed
data_Pm2CoN
_chemical_formula_sum 'Pm6 Co3 N3'
_space_group_name_H-M_alt 'R -3 m'
_space_group_IT_number 166
_space_group_name_Hall '-R 3 2"'
_cell_length_a 3.6191
_cell_length_b 3.6191
_cell_length_c 20.4872
_cell_angle_alpha 90.00
_cell_angle_beta 90.00
_cell_angle_gamma 120.00
loop_
_atom_site_label
_atom_site_type_symbol
_atom_site_fract_x
_atom_site_fract_y
_atom_site_fract_z
Pm1 Pm 0.0000 0.0000 0.2374
Co1 Co 0.0000 0.0000 0.0000
N1 N 0.0000 0.0000 0.5000
# formation energy without anion corrections: -0.4853 eV/atom

=====

# PBE-GGA LiRuRh2, relaxed
data_LiRuRh2
_chemical_formula_sum 'Li2 Ru2 Rh4'
_space_group_name_H-M_alt 'C 1 m 1'
_space_group_IT_number 8
_cell_length_a 8.9114
_cell_length_b 2.7015
_cell_length_c 4.6052
_cell_angle_alpha 90.00
_cell_angle_beta 99.38
_cell_angle_gamma 90.00
loop_
_space_group_symop_operation_xyz
'x,y,z'
'x,-y,z'
'x+1/2,y+1/2,z'
'x+1/2,-y+1/2,z'
loop_
_atom_site_label
_atom_site_type_symbol
_atom_site_fract_x
_atom_site_fract_y
_atom_site_fract_z
Li1 Li 0.0000 0.0000 0.0000
Ru1 Ru 0.2619 0.5000 0.3024
Rh1 Rh 0.0062 0.5000 0.4960
Rh2 Rh 0.2473 0.0000 0.8116
# energy: -6.486 eV/atom

=====

# PBE-GGA ZrTeAs, relaxed
data_ZrTeAs
_chemical_formula_sum 'Zr4 Te4 As4'
_space_group_name_H-M_alt 'I 4/m m m'
_space_group_IT_number 139
_space_group_name_Hall '-I 4 2'
_cell_length_a 3.8197
_cell_length_b 3.8197
_cell_length_c 20.2914
_cell_angle_alpha 90.00
_cell_angle_beta 90.00
_cell_angle_gamma 90.00
loop_
_atom_site_label
_atom_site_type_symbol
_atom_site_fract_x
_atom_site_fract_y
_atom_site_fract_z
Zr1 Zr 0.0000 0.0000 0.1062
Te1 Te 0.0000 0.0000 0.3279
As1 As 0.0000 0.5000 0.0000
# formation energy without anion corrections: -0.7134 eV/atom

=====

# PBE-GGA La4Pm3Nd5, relaxed
data_La4Pm3Nd5
_chemical_formula_sum 'La4 Pm3 Nd5'
_space_group_name_H-M_alt 'P -1'
_space_group_IT_number 2
_cell_length_a 6.4122
_cell_length_b 7.3653
_cell_length_c 9.0669
_cell_angle_alpha 90.19
_cell_angle_beta 90.13
_cell_angle_gamma 90.06
loop_
_space_group_symop_operation_xyz
'x,y,z'
'-x,-y,-z'
loop_
_atom_site_label
_atom_site_type_symbol
_atom_site_fract_x
_atom_site_fract_y
_atom_site_fract_z
La1 La 0.1664 0.0001 0.1667
La2 La 0.3342 0.2506 0.8320
Pm1 Pm 0.3332 0.7489 0.8323
Pm2 Pm 0.5000 0.5000 0.5000
Nd1 Nd 0.0017 0.7486 0.5000
Nd2 Nd 0.1660 0.4995 0.1679
Nd3 Nd 0.5000 0.0000 0.5000
# energy: -4.801 eV/atom

=====

# PBE-GGA Zn3C, relaxed
data_Zn3C
_chemical_formula_sum 'Zn9 C3'
_space_group_name_H-M_alt 'R -3 m'
_space_group_IT_number 166
_space_group_name_Hall '-R 3 2"'
_cell_length_a 3.3239
_cell_length_b 3.3239
_cell_length_c 17.8912
_cell_angle_alpha 90.00
_cell_angle_beta 90.00
_cell_angle_gamma 120.00
loop_
_atom_site_label
_atom_site_type_symbol
_atom_site_fract_x
_atom_site_fract_y
_atom_site_fract_z
Zn1 Zn 0.0000 0.0000 0.0000
Zn2 Zn 0.0000 0.0000 0.2205
C1 C 0.0000 0.0000 0.5000
# energy: -2.500 eV/atom

=====

Table of magnetization (μB per cell), in record order: 0.00 1.51 0.00 1.17 0.00 0.00